[1]
# MgOsF2

A geometry-optimized MgOsF2 structure (GGA-PBE, Alexandria via LeMat-Bulk).

Unit cell a=9.907 b=9.907 c=9.907 alpha=16.06 beta=16.06 gamma=16.06
Sites, in units of the cell vectors:
F (0.130, 0.130, 0.130)
F (0.870, 0.870, 0.870)
Os (0.000, 0.000, 0.000)
Mg (0.500, 0.500, 0.500)

Values from the calculation:
**E_form (uncorrected)**: -1.6909 eV/atom
**Space-group type**: R-3m (166)
**VASP energy**: -5.833 eV per atom
**Total magnetization**: 0.24 μB per atom

***

[2]
# Mg3OsF

A geometry-optimized Mg3OsF structure (GGA-PBE, Alexandria via LeMat-Bulk).

Unit cell a=4.220 b=4.220 c=4.220 alpha=90.00 beta=90.00 gamma=90.00
Sites, in units of the cell vectors:
Mg (0.000, 0.500, 0.000)
Mg (0.000, 0.000, 0.500)
Mg (0.500, 0.000, 0.000)
Os (0.500, 0.500, 0.500)
F (0.000, 0.000, 0.000)

Values from the calculation:
**E_form (uncorrected)**: -0.6230 eV/atom
**Space-group type**: Pm-3m (221)
**VASP energy**: -4.200 eV per atom
**Total magnetization**: 0.00 μB per atom

***

[3]
# Mg2Os2F

A geometry-optimized Mg2Os2F structure (GGA-PBE, Alexandria via LeMat-Bulk).

Unit cell a=8.064 b=8.064 c=2.755 alpha=90.00 beta=90.00 gamma=90.00
Sites, in units of the cell vectors:
Mg (0.811, 0.689, 0.000)
Mg (0.311, 0.811, 0.000)
Mg (0.689, 0.189, 0.000)
Mg (0.189, 0.311, 0.000)
Os (0.601, 0.899, 0.500)
Os (0.899, 0.399, 0.500)
Os (0.101, 0.601, 0.500)
Os (0.399, 0.101, 0.500)
F (0.000, 0.000, 0.000)
F (0.500, 0.500, 0.000)

Values from the calculation:
**E_form (uncorrected)**: 0.2886 eV/atom
**Space-group type**: P4/mbm (127)
**VASP energy**: -5.215 eV per atom
**Total magnetization**: 0.00 μB per atom

***

[4]
# MgOsF2

A geometry-optimized MgOsF2 structure (GGA-PBE, Alexandria via LeMat-Bulk).

Unit cell a=4.263 b=4.263 c=4.263 alpha=60.00 beta=60.00 gamma=60.00
Sites, in units of the cell vectors:
F (0.750, 0.750, 0.750)
F (0.250, 0.250, 0.250)
Mg (0.000, 0.000, 0.000)
Os (0.500, 0.500, 0.500)

Values from the calculation:
**E_form (uncorrected)**: -0.2147 eV/atom
**Space-group type**: Fm-3m (225)
**VASP energy**: -4.356 eV per atom
**Total magnetization**: 0.72 μB per atom

***

[5]
# Mg3OsF

A geometry-optimized Mg3OsF structure (GGA-PBE, Alexandria via LeMat-Bulk).

Unit cell a=4.982 b=4.982 c=4.982 alpha=90.00 beta=90.00 gamma=90.00
Sites, in units of the cell vectors:
Os (0.000, 0.000, 0.000)
Mg (0.000, 0.500, 0.000)
Mg (0.500, 0.000, 0.000)
Mg (0.000, 0.000, 0.500)
F (0.500, 0.500, 0.500)

Values from the calculation:
**E_form (uncorrected)**: 0.2919 eV/atom
**Space-group type**: Pm-3m (221)
**VASP energy**: -3.285 eV per atom
**Total magnetization**: 0.00 μB per atom

***

[6]
# Rb2MgOsF6

A geometry-optimized Rb2MgOsF6 structure (GGA-PBE, Alexandria via LeMat-Bulk).

Unit cell a=5.930 b=5.930 c=5.930 alpha=60.00 beta=60.00 gamma=90.00
Sites, in units of the cell vectors:
F (0.258, 0.742, 0.000)
F (0.742, 0.258, 0.000)
F (0.742, 0.742, 0.000)
F (0.742, 0.742, 0.516)
F (0.258, 0.258, 0.484)
F (0.258, 0.258, 0.000)
Os (0.000, 0.000, 0.000)
Mg (0.500, 0.500, 0.000)
Rb (0.250, 0.750, 0.500)
Rb (0.750, 0.250, 0.500)

Values from the calculation:
**E_form (uncorrected)**: -2.2853 eV/atom
**Space-group type**: Fm-3m (225)
**VASP energy**: -4.884 eV per atom
**Total magnetization**: 0.00 μB per atom

***

[7]
# Mg2SiOsF

A geometry-optimized Mg2SiOsF structure (GGA-PBE, Alexandria via LeMat-Bulk).

Unit cell a=5.058 b=4.480 c=5.058 alpha=90.00 beta=90.00 gamma=90.00
Sites, in units of the cell vectors:
Si (0.000, 0.500, 0.000)
Mg (0.500, 0.000, 0.000)
Mg (0.000, 0.000, 0.500)
Os (0.000, 0.000, 0.000)
F (0.500, 0.500, 0.500)

Values from the calculation:
**E_form (uncorrected)**: -0.1231 eV/atom
**Space-group type**: P4/mmm (123)
**VASP energy**: -4.466 eV per atom
**Total magnetization**: 0.00 μB per atom

***

[8]
# SrMgOs2F

A geometry-optimized SrMgOs2F structure (GGA-PBE, Alexandria via LeMat-Bulk).

Unit cell a=5.006 b=6.377 c=5.006 alpha=90.00 beta=90.00 gamma=90.00
Sites, in units of the cell vectors:
Sr (0.000, 0.000, 0.000)
Os (0.000, 0.000, 0.500)
Os (0.500, 0.000, 0.000)
F (0.500, 0.500, 0.500)
Mg (0.000, 0.500, 0.000)

Values from the calculation:
**E_form (uncorrected)**: 2.4911 eV/atom
**Space-group type**: P4/mmm (123)
**VASP energy**: -3.030 eV per atom
**Total magnetization**: 0.70 μB per atom